VASP calculation (SCAN) on a PBEsol-optimized structure of KP2Ru. Values from VASP.

The structure in Quantum ESPRESSO input format:
```
&SYSTEM
  ibrav = 0, nat = 4, ntyp = 3
/
ATOMIC_SPECIES
K 39.10 K.upf
P 30.97 P.upf
Ru 101.07 Ru.upf
CELL_PARAMETERS angstrom
-2.005 3.111 3.642
2.005 -3.111 3.642
2.005 3.111 -3.642
ATOMIC_POSITIONS angstrom
K 0.000 0.000 0.000
P 2.005 0.000 2.548
P 0.000 3.111 1.094
Ru 0.000 0.000 3.642
```

Calculated values
V	22.71	Å³ per atom
total DFT energy (no corrections)	-64.0	eV/cell
energy above the most stable polymorph in this dataset	193	meV/atom
ΔH_f (0 K)	-0.006	eV/atom